Record 1
A geometry-optimized CoNiP2 structure. Source: the Alexandria database, functional PBE.

```
4
Lattice="-1.415 1.942 4.342 1.415 -1.942 4.342 1.415 1.942 -4.342" Properties=species:S:1:pos:R:3 pbc="T T T"
Co 0.000 0.000 0.000
Ni 1.415 0.000 2.591
P 0.000 0.000 4.604
P 0.000 1.942 2.561
```

Results
The value obtained for the formation energy from the elements is -0.0232 eV/atom. As for the total DFT energy (no corrections): -23.80 eV/cell.



Record 2
A geometry-optimized Pm6Co2Ru structure. Source: the Alexandria database, functional PBE.

```
18
Lattice="6.680 0.000 0.000 0.000 7.165 0.000 -6.372 0.000 10.068" Properties=species:S:1:pos:R:3 pbc="T T T"
Pm -1.029 0.254 2.441
Pm -4.215 3.329 7.475
Pm 1.032 4.722 0.837
Pm -2.154 6.025 5.871
Pm 2.160 1.174 0.775
Pm -1.025 2.408 5.809
Pm 1.333 4.757 4.259
Pm -1.852 5.991 9.293
Pm 2.462 1.140 4.197
Pm -0.724 2.443 9.231
Pm 4.523 3.836 2.593
Pm 1.337 6.911 7.627
Co -2.898 1.101 8.154
Co 0.287 2.481 3.120
Co 0.021 4.684 6.948
Co 3.206 6.064 1.914
Ru 0.154 0.000 5.034
Ru 3.340 3.583 0.000
```

Results
The value obtained for the formation energy from the elements is -0.0750 eV/atom. As for the total DFT energy (no corrections): -105.33 eV/cell.



Record 3
A geometry-optimized Pm6Nd2Dy3Sc structure. Source: the Alexandria database, functional PBE.

```
12
Lattice="3.118 -5.400 0.000 3.118 5.400 0.000 -2.082 0.000 11.712" Properties=species:S:1:pos:R:3 pbc="T T T"
Pm -0.018 1.779 8.789
Pm 1.021 0.000 2.917
Pm -0.018 -1.779 8.789
Pm 4.172 1.779 2.923
Pm 3.134 0.000 8.795
Pm 4.172 -1.779 2.923
Nd 2.077 1.801 5.856
Nd 2.077 -1.801 5.856
Dy 3.118 3.604 0.000
Dy 3.118 0.000 0.000
Dy 3.118 -3.604 0.000
Sc -1.041 0.000 5.856
```

Results
The value obtained for the formation energy from the elements is 0.0246 eV/atom. As for the total DFT energy (no corrections): -57.88 eV/cell.



Record 4
A geometry-optimized La3Al2AgPd9 structure. Source: the Alexandria database, functional PBE.

```
15
Lattice="5.761 0.000 0.000 -2.881 4.989 0.000 0.000 0.000 11.456" Properties=species:S:1:pos:R:3 pbc="T T T"
La 0.000 0.000 0.000
La 0.000 3.326 7.123
La 2.881 1.663 4.333
Al 0.000 3.326 1.838
Al 2.881 1.663 9.617
Ag 0.000 0.000 5.728
Pd -1.440 2.495 0.000
Pd 0.000 1.635 3.571
Pd -1.465 4.172 3.571
Pd 1.416 0.817 7.884
Pd 2.881 0.000 0.000
Pd 1.440 2.495 0.000
Pd 1.465 4.172 3.571
Pd 4.345 0.817 7.884
Pd 2.881 3.355 7.884
```

Results
The value obtained for the formation energy from the elements is -0.5968 eV/atom. As for the total DFT energy (no corrections): -80.81 eV/cell.



Record 5
A geometry-optimized Ce2HgAs4 structure. Source: the Alexandria database, functional PBE.

```
7
Lattice="4.038 0.000 0.000 0.000 4.038 0.000 0.000 0.000 10.265" Properties=species:S:1:pos:R:3 pbc="T T T"
Ce 0.000 2.019 2.323
Ce 2.019 0.000 7.942
Hg 0.000 0.000 5.133
As 0.000 0.000 0.000
As 0.000 2.019 7.047
As 2.019 0.000 3.218
As 2.019 2.019 0.000
```

Results
The value obtained for the formation energy from the elements is -0.8228 eV/atom. As for the total DFT energy (no corrections): -36.53 eV/cell.



Record 6
A geometry-optimized CaZrIn4 structure. Source: the Alexandria database, functional PBE.

```
6
Lattice="0.000 4.197 4.197 4.197 0.000 4.197 4.197 4.197 0.000" Properties=species:S:1:pos:R:3 pbc="T T T"
Ca 0.000 0.000 0.000
Zr 2.098 2.098 2.098
In 5.243 3.150 3.150
In 3.150 5.243 3.150
In 3.150 3.150 5.243
In 5.243 5.243 5.243
```

Results
The value obtained for the formation energy from the elements is -0.1142 eV/atom. As for the total DFT energy (no corrections): -22.19 eV/cell.



Record 7
A geometry-optimized TaCo3H6 structure. Source: the Alexandria database, functional PBE.

```
10
Lattice="4.292 0.000 0.000 2.146 3.720 0.000 0.001 2.477 4.083" Properties=species:S:1:pos:R:3 pbc="T T T"
Ta 0.000 0.000 0.000
Co 2.147 3.716 2.651
Co 4.294 4.958 3.013
Co 4.293 2.471 1.549
H 1.160 4.344 3.960
H 0.902 1.047 1.720
H 2.608 2.411 1.720
H 2.099 2.548 3.957
H 3.183 4.259 3.960
H 5.076 3.966 1.722
```

Results
As for the total DFT energy (no corrections): -53.64 eV/cell.



Record 8
A geometry-optimized TiBe2TcF structure. Source: the Alexandria database, functional PBE.

```
5
Lattice="4.515 0.000 0.000 0.000 4.515 0.000 0.000 0.000 3.623" Properties=species:S:1:pos:R:3 pbc="T T T"
Ti 0.000 0.000 0.000
Be 0.000 2.258 0.000
Be 2.258 0.000 0.000
Tc 2.258 2.258 1.812
F 0.000 0.000 1.812
```

Results
The value obtained for the formation energy without anion corrections is 535 meV per atom. As for the total DFT energy (no corrections): -24.91 eV/cell.



M_tot
In order: 0.00 0.00 0.00 0.00 1.15 0.00 0.02 1.60
Unit: μB/cell